Entry 1:
Below is LaScCu2Sn2 after structural relaxation, with properties calculated at the PBE level.

## Properties
Electronic total energy = -30.16 eV for the cell shown
V = 21.85 Å³ per atom

abc: 4.4995 4.4995 7.4783
angles: 90.00 90.00 120.00
Space group P3m1 (No. 156)
One atom of each set of equivalent atoms:
La 0.0000 0.0000 0.0000 x1
Sc 0.0000 0.0000 0.4976 x1
Cu 0.3333 0.6667 0.3377 x1
Cu 0.6667 0.3333 0.7325 x1
Sn 0.3333 0.6667 0.7082 x1
Sn 0.6667 0.3333 0.2604 x1

Entry 2:
Below is La3CuSiSe7 after structural relaxation, with properties calculated at the PBE level.

## Properties
Electronic total energy = -131.93 eV for the cell shown
V = 25.72 Å³ per atom

abc: 10.7703 10.7703 6.1449
angles: 90.00 90.00 120.00
Space group P6_3 (No. 173)
One atom of each set of equivalent atoms:
La 0.1270 0.3557 0.0000 x6
Cu 0.0000 0.0000 0.0244 x2
Si 0.3333 0.6667 0.4129 x2
Se 0.0894 0.2527 0.5140 x6
Se 0.1079 0.5846 0.2679 x6
Se 0.3333 0.6667 0.7823 x2

Entry 3:
Below is LaCuSnSe3 after structural relaxation, with properties calculated at the PBE level.

## Properties
V = 26.77 Å³ per atom
ΔE to the lowest computed polymorph = 88.8 meV/atom

abc: 19.3915 4.1795 8.2050
angles: 90.00 104.92 90.00
Space group C2/m (No. 12)
One atom of each set of equivalent atoms:
La 0.1613 0.0000 0.0890 x4
Cu 0.0390 0.5000 0.2050 x4
Sn 0.1150 0.0000 0.5653 x4
Se 0.0000 0.0000 0.0000 x2
Se 0.0000 0.5000 0.5000 x2
Se 0.1672 0.5000 0.3473 x4
Se 0.1758 0.5000 0.8401 x4

Entry 4:
Below is La3CuSnSe7 after structural relaxation, with properties calculated at the PBE level.

## Properties
Electronic total energy = -127.96 eV for the cell shown
V = 26.68 Å³ per atom

abc: 10.7871 10.7871 6.3549
angles: 90.00 90.00 120.00
Space group P6_3 (No. 173)
One atom of each set of equivalent atoms:
La 0.1348 0.7797 0.0000 x6
Cu 0.0000 0.0000 0.0358 x2
Sn 0.3333 0.6667 0.4212 x2
Se 0.0855 0.5137 0.2517 x6
Se 0.0976 0.8436 0.5226 x6
Se 0.3333 0.6667 0.8180 x2

Entry 5:
Below is LaCuSnSe3 after structural relaxation, with properties calculated at the PBE level.

## Properties
V = 25.82 Å³ per atom
ΔE to the lowest computed polymorph = 17.0 meV/atom

abc: 11.1485 4.1435 13.4131
angles: 90.00 90.00 90.00
Space group Pnma (No. 62)
One atom of each set of equivalent atoms:
La 0.0165 0.2500 0.2361 x4
Cu 0.2345 0.2500 0.7213 x4
Sn 0.2147 0.7500 0.5072 x4
Se 0.0550 0.2500 0.6106 x4
Se 0.1056 0.7500 0.0950 x4
Se 0.2402 0.7500 0.8313 x4

Entry 6:
Below is LaCuSnSe3 after structural relaxation, with properties calculated at the PBE level.

## Properties
V = 24.75 Å³ per atom
ΔE to the lowest computed polymorph = 6.4 meV/atom

abc: 11.6108 4.2686 11.9849
angles: 90.00 90.00 90.00
Space group Pnma (No. 62)
One atom of each set of equivalent atoms:
La 0.0136 0.2500 0.1828 x4
Cu 0.2450 0.7500 0.2933 x4
Sn 0.1765 0.2500 0.5059 x4
Se 0.0467 0.7500 0.3679 x4
Se 0.1113 0.2500 0.9418 x4
Se 0.2211 0.7500 0.6896 x4

Entry 7:
Below is LaCuSnSe3 after structural relaxation, with properties calculated at the PBE level.

## Properties
V = 25.86 Å³ per atom
ΔE to the lowest computed polymorph = 19.4 meV/atom

abc: 4.1259 13.4597 11.1739
angles: 90.00 90.00 90.00
Space group Cmcm (No. 63)
One atom of each set of equivalent atoms:
La 0.0000 0.0000 0.0000 x4
Cu 0.0000 0.4701 0.2500 x4
Sn 0.0000 0.2375 0.7500 x4
Se 0.0000 0.0809 0.2500 x4
Se 0.0000 0.3531 0.0803 x8

Entry 8:
Below is LaCuSnSe3 after structural relaxation, with properties calculated at the PBE level.

## Properties
V = 27.04 Å³ per atom
ΔE to the lowest computed polymorph = 37.0 meV/atom

abc: 13.6878 4.1372 11.4618
angles: 90.00 90.00 90.00
Space group Pnma (No. 62)
One atom of each set of equivalent atoms:
La 0.0102 0.2500 0.1741 x4
Cu 0.0053 0.7500 0.4206 x4
Sn 0.2108 0.2500 0.4537 x4
Se 0.1045 0.7500 0.6063 x4
Se 0.1170 0.2500 0.9414 x4
Se 0.1423 0.7500 0.2750 x4

Entry 9:
Below is LaCuSnSe3 after structural relaxation, with properties calculated at the PBE level.

## Properties
V = 24.89 Å³ per atom
ΔE to the lowest computed polymorph = 0.0 meV/atom

abc: 8.4002 4.2766 16.6254
angles: 90.00 90.00 90.00
Space group Pnma (No. 62)
One atom of each set of equivalent atoms:
La 0.2443 0.2500 0.0376 x4
Cu 0.1239 0.2500 0.3711 x4
Sn 0.0899 0.2500 0.7696 x4
Se 0.0156 0.2500 0.5989 x4
Se 0.1167 0.7500 0.9340 x4
Se 0.1906 0.2500 0.2234 x4

Entry 10:
Below is LaCuSnSe3 after structural relaxation, with properties calculated at the PBE level.

## Properties
V = 26.91 Å³ per atom
ΔE to the lowest computed polymorph = 43.1 meV/atom

abc: 8.0417 4.1497 9.8799
angles: 90.00 101.60 90.00
Space group P2_1/m (No. 11)
One atom of each set of equivalent atoms:
La 0.2029 0.2500 0.1570 x2
Cu 0.4283 0.7500 0.4195 x2
Sn 0.2647 0.7500 0.6955 x2
Se 0.0675 0.2500 0.8462 x2
Se 0.2584 0.2500 0.4649 x2
Se 0.4727 0.7500 0.1764 x2

Entry 11:
Below is SrLaCuSe3 after structural relaxation, with properties calculated at the PBE level.

## Properties
Electronic total energy = -121.50 eV for the cell shown
V = 26.59 Å³ per atom

abc: 11.2106 4.2038 13.5409
angles: 90.00 90.00 90.00
Space group Pnma (No. 62)
One atom of each set of equivalent atoms:
Sr 0.2189 0.2500 0.0006 x4
La 0.0172 0.7500 0.2621 x4
Cu 0.2347 0.7500 0.7787 x4
Se 0.0549 0.7500 0.8866 x4
Se 0.1020 0.2500 0.4002 x4
Se 0.2387 0.2500 0.6721 x4

Entry 12:
Below is SrLaCuSe3 after structural relaxation, with properties calculated at the PBE level.

## Properties
Electronic total energy = -60.28 eV for the cell shown
V = 27.50 Å³ per atom

abc: 8.2323 4.1774 9.8630
angles: 90.00 103.36 90.00
Space group P2_1/m (No. 11)
One atom of each set of equivalent atoms:
Sr 0.2397 0.2500 0.2963 x2
La 0.2969 0.7500 0.8448 x2
Cu 0.0730 0.2500 0.5867 x2
Se 0.0408 0.2500 0.8316 x2
Se 0.2350 0.7500 0.5364 x2
Se 0.4382 0.7500 0.1593 x2